No. 1
The following is a PBE-GGA calculation of crystalline ZnOsCl2 at its relaxed geometry, from Alexandria via LeMat-Bulk.

a = 3.5314 Å, b = 3.5314 Å, c = 11.9435 Å
α = 90.00°, β = 90.00°, γ = 90.00°
With the nearest neighbours (Å) after each atom.
Space group I-4m2 (No. 119)
Inequivalent atoms, fractional coordinates:
Zn 0.0000 0.0000 0.0000 x2  4 Cl 2.50
Os 0.0000 0.5000 0.2500 x2  4 Cl 2.50
Cl 0.0000 0.0000 0.5000 x2  4 Zn 2.50
Cl 0.0000 0.5000 0.7500 x2  4 Os 2.50

Calculated values
**Raw formation energy**: 930 meV per atom
**Relative energy among the computed polymorphs**: 0.940 eV/atom

No. 2
The following is a PBE-GGA calculation of crystalline TmBi2H at its relaxed geometry, from Alexandria via LeMat-Bulk.

a = 3.5210 Å, b = 6.0939 Å, c = 18.9884 Å
α = 90.00°, β = 90.00°, γ = 90.00°
With the nearest neighbours (Å) after each atom.
Space group Cmcm (No. 63)
Inequivalent atoms, fractional coordinates:
Tm 0.0000 0.1658 0.2500 x4  3 H 2.03
Bi 0.0000 0.1674 0.6064 x8  3 Tm 3.40, 3 H 3.40, 6 Bi 3.52
H 0.0000 0.4994 0.2500 x4  3 Tm 2.03

No. 3
The following is a PBE-GGA calculation of crystalline YSiSn2 at its relaxed geometry, from Alexandria via LeMat-Bulk.

a = 4.4563 Å, b = 4.4563 Å, c = 4.7514 Å
α = 90.00°, β = 90.00°, γ = 90.00°
With the nearest neighbours (Å) after each atom.
Space group P4/mmm (No. 123)
Inequivalent atoms, fractional coordinates:
Y 0.0000 0.0000 0.0000 x1  4 Si 3.15, 8 Sn 3.26
Si 0.5000 0.5000 0.0000 x1  4 Y 3.15, 8 Sn 3.26
Sn 0.0000 0.5000 0.5000 x2  4 Sn 3.15, 4 Si 3.26, 4 Y 3.26

Calculated values
**Raw formation energy**: -278 meV per atom

No. 4
The following is a PBE-GGA calculation of crystalline FeNiSb2Ru at its relaxed geometry, from Alexandria via LeMat-Bulk.

a = 5.0058 Å, b = 5.0058 Å, c = 4.6121 Å
α = 90.00°, β = 90.00°, γ = 90.00°
With the nearest neighbours (Å) after each atom.
Space group P4/mmm (No. 123)
Inequivalent atoms, fractional coordinates:
Fe 0.0000 0.0000 0.0000 x1  8 Sb 3.40, 4 Ni 3.54
Ni 0.5000 0.5000 0.0000 x1  2 Ru 2.31
Sb 0.0000 0.5000 0.5000 x2  2 Ru 2.50
Ru 0.5000 0.5000 0.5000 x1  2 Ni 2.31, 4 Sb 2.50

Calculated values
**Raw formation energy**: 1013 meV per atom

No. 5
The following is a PBE-GGA calculation of crystalline Li12Mg2Tl5 at its relaxed geometry, from Alexandria via LeMat-Bulk.

a = 14.7055 Å, b = 5.6959 Å, c = 11.7426 Å
α = 90.00°, β = 126.32°, γ = 90.00°
With the nearest neighbours (Å) after each atom.
Space group C2/m (No. 12)
Inequivalent atoms, fractional coordinates:
Li 0.0511 0.2371 0.2925 x8  4 Li 2.70-3.00, 1 Mg 2.95, 2 Tl 2.95-2.98
Li 0.1016 0.5000 0.1343 x4  5 Li 2.76-2.81, 2 Tl 2.93-2.95
Li 0.1510 0.2491 0.9766 x8  5 Li 2.62-2.86, 3 Tl 2.78-2.90
Li 0.2467 0.5000 0.7194 x4  6 Tl 3.19-3.43, 6 Li 3.26-3.39, 2 Mg 3.28
Mg 0.0000 0.2497 0.5000 x4  2 Mg 2.84-2.85, 2 Li 2.95, 2 Tl 3.03
Tl 0.0000 0.0000 0.0000 x2  4 Li 2.78
Tl 0.1660 0.0000 0.7774 x4  7 Li 2.85-3.10, 2 Mg 3.03
Tl 0.2319 0.0000 0.5560 x4  5 Li 2.95-2.98, 1 Tl 3.27

Calculated values
**E_form**: -0.1032 eV per atom

No. 6
The following is a PBE-GGA calculation of crystalline Y4RuBr5 at its relaxed geometry, from Alexandria via LeMat-Bulk.

a = 11.8961 Å, b = 11.8961 Å, c = 17.2734 Å
α = 90.00°, β = 90.00°, γ = 90.00°
With the nearest neighbours (Å) after each atom.
Space group P4_2/nnm (No. 134, origin choice 2)
Inequivalent atoms, fractional coordinates:
Y 0.0787 0.1336 0.1733 x16  1 Ru 2.69, 3 Br 2.91-2.97
Y 0.1196 0.6196 0.8425 x8  3 Ru 2.82-2.85, 1 Br 3.06
Y 0.1367 0.6367 0.5226 x8  1 Ru 2.71, 2 Br 2.93
Ru 0.1468 0.6468 0.6795 x8  6 Y 2.69-2.85
Br 0.1082 0.6082 0.3402 x8  3 Y 2.91-3.19
Br 0.1168 0.1168 0.0000 x8  4 Y 3.03-3.05
Br 0.1252 0.6252 0.0195 x8  3 Y 2.93-3.06
Br 0.1273 0.1495 0.6625 x16  4 Y 2.96-3.24

Calculated values
**Raw formation energy**: -1401 meV per atom
**Relative energy among the computed polymorphs**: 0.000 eV/atom

No. 7
The following is a PBE-GGA calculation of crystalline CoAg2OsS at its relaxed geometry, from Alexandria via LeMat-Bulk.

a = 4.7009 Å, b = 4.7009 Å, c = 4.2942 Å
α = 90.00°, β = 90.00°, γ = 90.00°
With the nearest neighbours (Å) after each atom.
Space group P4/mmm (No. 123)
Inequivalent atoms, fractional coordinates:
Co 0.0000 0.0000 0.0000 x1  8 Ag 3.18, 4 Os 3.32
Ag 0.0000 0.5000 0.5000 x2  2 S 2.35
Os 0.5000 0.5000 0.0000 x1  2 S 2.15
S 0.5000 0.5000 0.5000 x1  2 Os 2.15, 4 Ag 2.35

Calculated values
**Raw formation energy**: 1158 meV per atom

No. 8
The following is a PBE-GGA calculation of crystalline PmSmTm3 at its relaxed geometry, from Alexandria via LeMat-Bulk.

a = 6.2651 Å, b = 6.7065 Å, c = 9.1820 Å
α = 107.82°, β = 90.00°, γ = 117.84°
With the nearest neighbours (Å) after each atom.
Space group P-1 (No. 2)
Inequivalent atoms, fractional coordinates:
Pm 0.1339 0.1013 0.3497 x2  9 Tm 3.50-3.63, 1 Pm 3.53, 2 Sm 3.62
Sm 0.4674 0.1013 0.8503 x2  9 Tm 3.50-3.63, 1 Sm 3.52, 2 Pm 3.62
Tm 0.0657 0.3014 0.0504 x2  6 Tm 3.49-3.62, 4 Sm 3.50-3.63, 2 Pm 3.51-3.62
Tm 0.2645 0.6992 0.4496 x2  6 Tm 3.50-3.62, 4 Pm 3.50-3.63, 2 Sm 3.51-3.63
Tm 0.3336 0.5001 0.7503 x2  3 Pm 3.51-3.62, 3 Sm 3.51-3.61, 6 Tm 3.51-3.62

Calculated values
**E_form**: 0.0098 eV per atom

No. 9
The following is a PBE-GGA calculation of crystalline Sm3Zn9Sn2 at its relaxed geometry, from Alexandria via LeMat-Bulk.

a = 4.3540 Å, b = 9.9713 Å, c = 12.9496 Å
α = 90.00°, β = 90.00°, γ = 90.00°
With the nearest neighbours (Å) after each atom.
Space group Immm (No. 71)
Inequivalent atoms, fractional coordinates:
Sm 0.0000 0.0000 0.0000 x2  12 Zn 3.29-3.31, 4 Sn 3.61
Sm 0.0000 0.0000 0.3076 x4  12 Zn 3.11-3.31, 2 Sn 3.26
Zn 0.0000 0.2655 0.1536 x8  3 Zn 2.60
Zn 0.0000 0.3760 0.3352 x8  4 Zn 2.47-2.60, 1 Sn 2.70
Zn 0.0000 0.5000 0.0000 x2  4 Sn 3.02, 4 Zn 3.07, 4 Sm 3.31
Sn 0.0000 0.2106 0.5000 x4  6 Zn 2.70-2.96

Calculated values
**E_form**: -0.3572 eV per atom

No. 10
The following is a PBE-GGA calculation of crystalline Na2NpAg2Se4 at its relaxed geometry, from Alexandria via LeMat-Bulk.

a = 15.3073 Å, b = 4.1791 Å, c = 7.7056 Å
α = 90.00°, β = 115.76°, γ = 90.00°
With the nearest neighbours (Å) after each atom.
Space group C2/m (No. 12)
Inequivalent atoms, fractional coordinates:
Na 0.1413 0.0000 0.0615 x4  5 Se 3.03-3.18
Np 0.0000 0.0000 0.5000 x2  6 Se 2.86-2.87
Ag 0.1786 0.5000 0.4755 x4  4 Se 2.62-2.79, 2 Ag 2.93
Se 0.0069 0.5000 0.7605 x4  1 Ag 2.62, 2 Np 2.87
Se 0.2063 0.0000 0.7222 x4  3 Ag 2.73-2.79, 1 Np 2.86, 2 Na 3.03

Calculated values
**Raw formation energy**: -805 meV per atom

No. 11
The following is a PBE-GGA calculation of crystalline SrCrPd at its relaxed geometry, from Alexandria via LeMat-Bulk.

a = 3.6070 Å, b = 3.6070 Å, c = 10.6962 Å
α = 90.00°, β = 90.00°, γ = 90.00°
With the nearest neighbours (Å) after each atom.
Space group P4/nmm (No. 129, origin choice 2)
Inequivalent atoms, fractional coordinates:
Sr 0.2500 0.2500 0.1713 x2  4 Pd 3.02
Cr 0.2500 0.7500 0.5000 x2  4 Cr 2.55, 4 Pd 2.62
Pd 0.2500 0.2500 0.6781 x2  4 Cr 2.62

Calculated values
**Relative energy among the computed polymorphs**: 0.265 eV/atom
**E_form**: 0.2647 eV per atom

No. 12
The following is a PBE-GGA calculation of crystalline BaTeI3 at its relaxed geometry, from Alexandria via LeMat-Bulk.

a = 6.2290 Å, b = 6.2290 Å, c = 6.2290 Å
α = 90.00°, β = 90.00°, γ = 90.00°
With the nearest neighbours (Å) after each atom.
Space group Pm-3m (No. 221)
Inequivalent atoms, fractional coordinates:
Ba 0.0000 0.0000 0.0000 x1  12 I 4.40
Te 0.5000 0.5000 0.5000 x1  6 I 3.11
I 0.0000 0.5000 0.5000 x3  2 Te 3.11

Calculated values
**Raw formation energy**: -571 meV per atom
**Relative energy among the computed polymorphs**: 0.000 eV/atom

| no. | size of the total moment (μB per cell) | DFT total energy (eV for the cell shown) |
| --- | --- | --- |
| 1 | 3.13 | -24.954 |
| 2 | 0.00 | -68.765 |
| 3 | 0.00 | -21.003 |
| 4 | 4.23 | -26.698 |
| 5 | 0.00 | -79.894 |
| 6 | 0.00 | -460.021 |
| 7 | 2.23 | -22.376 |
| 8 | 0.00 | -45.670 |
| 9 | 0.00 | -77.259 |
| 10 | 6.00 | -84.935 |
| 11 | 0.05 | -31.408 |
| 12 | 0.00 | -12.567 |